No. 1
A relaxed TeIrOs crystal, computed with GGA-PBE.

Values from the calculation:
Relative energy among the computed polymorphs: 212.1 meV/atom
Crystal system: hexagonal
Magnetization: 0.00 μB per formula unit
E_tot: -6.945 eV per atom
DOS(E_F): 2.45 states/eV/f.u.

Cell: 3.0104 3.0104 13.2630 Å, 90.00 90.00 120.00°
Last column: nearest neighbours and their distance in Å.
Space group P-6m2 (No. 187)
Asymmetric unit:
Te 0.0000 0.0000 0.1769 [2 per cell]  3 Os 2.85, 3 Ir 2.92, 6 Te 3.01
Ir 0.0000 0.0000 0.5000 [1 per cell]  6 Os 2.67
Ir 0.3333 0.6667 0.0000 [1 per cell]  6 Te 2.92, 6 Ir 3.01
Os 0.3333 0.6667 0.3470 [2 per cell]  3 Ir 2.67, 3 Te 2.85


No. 2
A relaxed La6PrNdY2 crystal, computed with GGA-PBE.

Values from the calculation:
Crystal system: monoclinic
Magnetization: 0.00 μB per formula unit
Calculated formation energy: 1.8 eV per formula unit
E_tot: -5.021 eV per atom
DOS(E_F): 19.73 states/eV/f.u.

Cell: 11.4080 7.2610 9.0237 Å, 90.00 103.04 90.00°
Last column: nearest neighbours and their distance in Å.
Space group C2/m (No. 12)
Asymmetric unit:
La 0.1397 0.0000 0.4371 [4 per cell]  5 La 3.62-3.79, 1 Pr 3.91, 1 Nd 4.02
La 0.1769 0.2776 0.8010 [8 per cell]  1 La 3.23, 2 Y 3.26-3.57, 1 Nd 3.40, 1 Pr 3.61
Pr 0.0000 0.0000 0.0000 [2 per cell]  6 La 3.61-3.91, 4 Y 3.97
Nd 0.0000 0.5000 0.5000 [2 per cell]  4 La 3.40, 2 Y 3.47
Y 0.0939 0.5000 0.1605 [4 per cell]  1 Y 3.19, 4 La 3.26-3.57, 1 Nd 3.47


No. 3
A relaxed Na2Cr2TeS6 crystal, computed with GGA-PBE.

Values from the calculation:
Crystal system: monoclinic
Magnetization: 6.00 μB per formula unit
E_tot: -5.193 eV per atom

Cell: 6.2686 10.9952 7.0464 Å, 90.00 106.55 90.00°
Last column: nearest neighbours and their distance in Å.
Space group C2/m (No. 12)
Asymmetric unit:
Na 0.0000 0.1600 0.0000 [4 per cell]  6 S 2.87-2.93
Cr 0.0000 0.3329 0.5000 [4 per cell]  6 S 2.43-2.47
Te 0.0000 0.0000 0.5000 [2 per cell]  6 S 2.64
S 0.2067 0.5000 0.7053 [4 per cell]  2 Cr 2.47, 1 Te 2.64
S 0.2408 0.1797 0.7010 [8 per cell]  2 Cr 2.43-2.44, 1 Te 2.64


No. 4
A relaxed RbSrRhCl6 crystal, computed with GGA-PBE.

Values from the calculation:
Crystal system: trigonal
Magnetization: 0.01 μB per formula unit
E_tot: -3.862 eV per atom
DOS(E_F): 0.00 states/eV/f.u.

Cell: 6.9755 6.9755 7.0991 Å, 90.00 90.00 120.00°
Last column: nearest neighbours and their distance in Å.
Space group P312 (No. 149)
Asymmetric unit:
Rb 0.0000 0.0000 0.0000 [1 per cell]  6 Cl 3.34
Sr 0.6667 0.3333 0.5000 [1 per cell]  6 Cl 2.90
Rh 0.3333 0.6667 0.5000 [1 per cell]  6 Cl 2.38
Cl 0.0560 0.3935 0.3012 [6 per cell]  1 Rh 2.38


Among the records above, which one has the lowest E_tot?
TeIrOs


Among the records above, which one has the highest magnetization?
Na2Cr2TeS6


What is the formula in the second record?
La6PrNdY2


Among the records above, which one has the highest E_tot?
RbSrRhCl6